a | ## FeAsBr2O (GGA+U)

Data for FeAsBr2O after structural relaxation.

N(E_F) ... 2.4 states/eV per cell
M_tot ... 3.91 μB/f.u.

```
data_FeAsBr2O
_chemical_formula_sum 'Fe1 As1 Br2 O1'
_cell_length_a 4.802
_cell_length_b 4.802
_cell_length_c 4.368
_cell_angle_alpha 90.00
_cell_angle_beta 90.00
_cell_angle_gamma 90.00
_symmetry_space_group_name_H-M 'P 1'
_symmetry_Int_Tables_number 1
_symmetry_space_group_name_Hall 'P 1'
loop_
_atom_site_label
_atom_site_type_symbol
_atom_site_fract_x
_atom_site_fract_y
_atom_site_fract_z
As1 As 0.000 0.000 0.500
Br1 Br 0.000 0.500 0.000
Br2 Br 0.500 0.000 0.000
O1 O 0.000 0.000 0.000
Fe1 Fe 0.500 0.500 0.500
```

b | ## FeAsBr2O (GGA+U)

Data for FeAsBr2O after structural relaxation.

N(E_F) ... 8.3 states/eV per cell
M_tot ... 3.41 μB/f.u.

```
data_FeAsBr2O
_chemical_formula_sum 'Fe1 As1 Br2 O1'
_cell_length_a 4.981
_cell_length_b 4.981
_cell_length_c 5.043
_cell_angle_alpha 90.00
_cell_angle_beta 90.00
_cell_angle_gamma 90.00
_symmetry_space_group_name_H-M 'P 1'
_symmetry_Int_Tables_number 1
_symmetry_space_group_name_Hall 'P 1'
loop_
_atom_site_label
_atom_site_type_symbol
_atom_site_fract_x
_atom_site_fract_y
_atom_site_fract_z
Br1 Br 0.500 0.000 0.000
Br2 Br 0.000 0.500 0.000
Fe1 Fe 0.000 0.000 0.000
As1 As 0.000 0.000 0.500
O1 O 0.500 0.500 0.500
```

How do the structures above rank in stability at the extremes? a comes first and b comes last.